Density functional theory data (PBE) for a geometry-optimized SrTc3Ir structure.

```
data_SrTc3Ir
_chemical_formula_sum 'Sr1 Tc3 Ir1'
_symmetry_space_group_name_H-M 'P m -3 m'
_symmetry_Int_Tables_number 221
_symmetry_space_group_name_Hall '-P 4 2 3'
_cell_length_a 4.8140
_cell_length_b 4.8140
_cell_length_c 4.8140
_cell_angle_alpha 90.00
_cell_angle_beta 90.00
_cell_angle_gamma 90.00
loop_
_atom_site_label
_atom_site_type_symbol
_atom_site_fract_x
_atom_site_fract_y
_atom_site_fract_z
Sr1 Sr 0.0000 0.0000 0.0000
Tc1 Tc 0.0000 0.5000 0.5000
Ir1 Ir 0.5000 0.5000 0.5000
```

Summary:
Crystal system ... cubic
Volume ... 112 Å³ per cell
ΔH_f (0 K) ... 1.23 eV/atom



Density functional theory data (PBE) for a geometry-optimized Ac2PmPr2Y structure.

```
data_Ac2PmPr2Y
_chemical_formula_sum 'Ac4 Pm2 Pr4 Y2'
_symmetry_space_group_name_H-M 'P m m a'
_symmetry_Int_Tables_number 51
_cell_length_a 7.4073
_cell_length_b 5.9699
_cell_length_c 10.2680
_cell_angle_alpha 90.00
_cell_angle_beta 90.00
_cell_angle_gamma 90.00
loop_
_symmetry_equiv_pos_as_xyz
'x,y,z'
'-x,-y,-z'
'-x+1/2,-y,z'
'x+1/2,y,-z'
'x+1/2,-y,-z'
'-x+1/2,y,z'
'-x,y,-z'
'x,-y,z'
loop_
_atom_site_label
_atom_site_type_symbol
_atom_site_fract_x
_atom_site_fract_y
_atom_site_fract_z
Ac1 Ac 0.0000 0.0000 0.0000
Ac2 Ac 0.2500 0.5000 0.1723
Pm1 Pm 0.2500 0.0000 0.6644
Pr1 Pr 0.2500 0.0000 0.3475
Pr2 Pr 0.2500 0.5000 0.8226
Y1 Y 0.0000 0.5000 0.5000
```

Summary:
Crystal system ... orthorhombic
Volume ... 454 Å³ per cell
ΔH_f (0 K) ... 0.07 eV/atom



Density functional theory data (PBE) for a geometry-optimized Rb3ZnSe structure.

```
data_Rb3ZnSe
_chemical_formula_sum 'Rb3 Zn1 Se1'
_symmetry_space_group_name_H-M 'P m -3 m'
_symmetry_Int_Tables_number 221
_symmetry_space_group_name_Hall '-P 4 2 3'
_cell_length_a 6.6633
_cell_length_b 6.6633
_cell_length_c 6.6633
_cell_angle_alpha 90.00
_cell_angle_beta 90.00
_cell_angle_gamma 90.00
loop_
_atom_site_label
_atom_site_type_symbol
_atom_site_fract_x
_atom_site_fract_y
_atom_site_fract_z
Rb1 Rb 0.0000 0.0000 0.5000
Zn1 Zn 0.5000 0.5000 0.5000
Se1 Se 0.0000 0.0000 0.0000
```

Summary:
Formation energy from raw total energies ... -0.40 eV/atom
Crystal system ... cubic
Volume ... 296 Å³ per cell